First-principles (PBE) data for an optimized crystal structure of Co3Cl, as listed in OQMD.

a = 4.131 Å, b = 4.131 Å, c = 4.131 Å
α = 60.00°, β = 60.00°, γ = 60.00°
Positions (direct):
1 Co 0.000 0.000 0.000
2 Co 0.250 0.250 0.250
3 Co 0.750 0.750 0.750
4 Cl 0.500 0.500 0.500

Calculated values
Space group = Fm-3m
Energy above the lowest structure with this stoichiometry = 358 meV per atom
Mass density = 7.1 Mg/m³
Size of the total moment = 0.004 μB/cell
Volume = 49.8 Å³/cell
Raw total energy = -4.80 eV/atom